# ZnGa2Sb

ZnGa2Sb after structural relaxation (GGA-PBE, the Alexandria database).

Results
* total DFT energy (no corrections): -0.1006 Ha/atom
* formation energy from raw total energies: 126.1 meV per atom
* distance to the lowest polymorph of the same formula: 45 meV/atom

Cell lengths 4.981, 4.981, 4.981 Å; angles 60.00, 60.00, 60.00 degrees
Element x y z (fractional)
Zn: 0.000 0.000 0.000
Ga: 0.250 0.250 0.250
Ga: 0.750 0.750 0.750
Sb: 0.500 0.500 0.500

---

# CsLiTl11

CsLiTl11 after structural relaxation (GGA-PBE, the Alexandria database).

Results
* energy relative to the elements: -0.044 eV/atom
* total DFT energy (no corrections): -0.0830 Ha/atom

Cell lengths 8.639, 8.639, 8.575 Å; angles 96.50, 96.50, 137.05 degrees
Element x y z (fractional)
Cs: 0.000 0.000 0.000
Li: 0.500 0.500 0.500
Tl: 0.000 0.000 0.500
Tl: 0.000 0.500 0.000
Tl: 0.005 0.362 0.362
Tl: 0.295 0.507 0.775
Tl: 0.362 0.005 0.362
Tl: 0.493 0.705 0.225
Tl: 0.500 0.000 0.000
Tl: 0.507 0.295 0.775
Tl: 0.638 0.995 0.638
Tl: 0.705 0.493 0.225
Tl: 0.995 0.638 0.638

---

# Zr2FeAs

Zr2FeAs after structural relaxation (GGA-PBE, the Alexandria database).

Results
* energy relative to the elements: -0.440 eV/atom
* total DFT energy (no corrections): -0.2937 Ha/atom

Cell lengths 4.490, 4.490, 3.546 Å; angles 90.00, 90.00, 90.00 degrees
Element x y z (fractional)
Zr: 0.000 0.500 0.000
Zr: 0.500 0.000 0.000
Fe: 0.000 0.000 0.500
As: 0.500 0.500 0.500

---

# La2CrBiB

La2CrBiB after structural relaxation (GGA-PBE, the Alexandria database).

Results
* energy relative to the elements: -0.217 eV/atom
* total DFT energy (no corrections): -0.2287 Ha/atom

Cell lengths 5.473, 5.473, 4.321 Å; angles 90.00, 90.00, 90.00 degrees
Element x y z (fractional)
La: 0.000 0.500 0.000
La: 0.500 0.000 0.000
Cr: 0.000 0.000 0.500
Bi: 0.500 0.500 0.500
B: 0.000 0.000 0.000

---

# KBaGeSb2

KBaGeSb2 after structural relaxation (GGA-PBE, the Alexandria database).

Results
* total DFT energy (no corrections): -0.1207 Ha/atom
* formation energy from raw total energies: -106.8 meV per atom

Cell lengths 5.694, 5.694, 5.609 Å; angles 90.00, 90.00, 90.00 degrees
Element x y z (fractional)
K: 0.000 0.000 0.000
Ba: 0.500 0.500 0.000
Ge: 0.000 0.000 0.500
Sb: 0.000 0.500 0.500
Sb: 0.500 0.000 0.500

---

# Zn3HRh

Zn3HRh after structural relaxation (GGA-PBE, the Alexandria database).

Results
* total DFT energy (no corrections): -0.1088 Ha/atom
* distance to the lowest polymorph of the same formula: 0 meV/atom

Cell lengths 3.887, 3.887, 3.887 Å; angles 90.00, 90.00, 90.00 degrees
Element x y z (fractional)
Zn: 0.000 0.000 0.500
Zn: 0.000 0.500 0.000
Zn: 0.500 0.000 0.000
H: 0.000 0.000 0.000
Rh: 0.500 0.500 0.500

---

# Tm4Ge8Ir

Tm4Ge8Ir after structural relaxation (GGA-PBE, the Alexandria database).

Results
* energy relative to the elements: -0.598 eV/atom
* total DFT energy (no corrections): -0.2020 Ha/atom

Cell lengths 4.007, 4.099, 16.044 Å; angles 90.00, 90.00, 90.00 degrees
Element x y z (fractional)
Tm: 0.000 0.000 0.000
Tm: 0.000 0.500 0.486
Tm: 0.500 0.000 0.788
Tm: 0.500 0.500 0.284
Ge: 0.000 0.000 0.328
Ge: 0.000 0.000 0.619
Ge: 0.000 0.500 0.140
Ge: 0.000 0.500 0.858
Ge: 0.500 0.000 0.144
Ge: 0.500 0.000 0.435
Ge: 0.500 0.500 0.618
Ge: 0.500 0.500 0.960
Ir: 0.000 0.500 0.707

---

# NaZn2Ag8

NaZn2Ag8 after structural relaxation (GGA-PBE, the Alexandria database).

Results
* energy relative to the elements: 0.071 eV/atom
* total DFT energy (no corrections): -0.0865 Ha/atom
* distance to the lowest polymorph of the same formula: 0 meV/atom

Cell lengths 7.227, 7.227, 4.896 Å; angles 103.37, 103.37, 116.22 degrees
Element x y z (fractional)
Na: 0.000 0.000 0.000
Zn: 0.309 0.691 0.500
Zn: 0.691 0.309 0.500
Ag: 0.086 0.325 0.618
Ag: 0.230 0.770 0.000
Ag: 0.325 0.086 0.618
Ag: 0.412 0.412 0.190
Ag: 0.588 0.588 0.810
Ag: 0.675 0.914 0.382
Ag: 0.770 0.230 0.000
Ag: 0.914 0.675 0.382

---

# Tc2AsSe

Tc2AsSe after structural relaxation (GGA-PBE, the Alexandria database).

Results
* total DFT energy (no corrections): -0.2643 Ha/atom
* formation energy from raw total energies: 25.6 meV per atom
* distance to the lowest polymorph of the same formula: 124 meV/atom

Cell lengths 2.937, 4.008, 5.385 Å; angles 90.00, 90.00, 90.00 degrees
Element x y z (fractional)
Tc: 0.000 0.000 0.000
Tc: 0.500 0.500 0.295
As: 0.000 0.000 0.466
Se: 0.500 0.500 0.845

---

# CeSmZnOs

CeSmZnOs after structural relaxation (GGA-PBE, the Alexandria database).

Results
* energy relative to the elements: -0.172 eV/atom
* total DFT energy (no corrections): -0.2191 Ha/atom

Cell lengths 4.999, 4.999, 4.999 Å; angles 60.00, 60.00, 60.00 degrees
Element x y z (fractional)
Ce: 0.000 0.000 0.000
Sm: 0.500 0.500 0.500
Zn: 0.750 0.750 0.750
Os: 0.250 0.250 0.250

---

# ZrAg2Au

ZrAg2Au after structural relaxation (GGA-PBE, the Alexandria database).

Results
* energy relative to the elements: -0.062 eV/atom
* total DFT energy (no corrections): -0.1633 Ha/atom
* distance to the lowest polymorph of the same formula: 128 meV/atom

Cell lengths 3.033, 4.975, 5.126 Å; angles 90.00, 90.00, 90.00 degrees
Element x y z (fractional)
Zr: 0.000 0.000 0.000
Ag: 0.000 0.500 0.500
Ag: 0.500 0.000 0.500
Au: 0.500 0.500 0.000

---

# FeMoRu2

FeMoRu2 after structural relaxation (GGA-PBE, the Alexandria database).

Results
* energy relative to the elements: 0.138 eV/atom
* total DFT energy (no corrections): -0.3426 Ha/atom
* distance to the lowest polymorph of the same formula: 98 meV/atom

Cell lengths 2.693, 2.693, 7.557 Å; angles 90.00, 90.00, 90.00 degrees
Element x y z (fractional)
Fe: 0.000 0.000 0.000
Mo: 0.500 0.500 0.247
Ru: 0.000 0.000 0.518
Ru: 0.500 0.500 0.769

---

Question: What is the total DFT energy (no corrections) in the seventh record?
Answer: -0.2020 Ha/atom

---

Question: Among the records above, which one has the lowest total DFT energy (no corrections)?
Answer: FeMoRu2